First-principles (PBE with a Hubbard U) data for crystalline Li2FeTcF at its relaxed geometry, as listed in the Alexandria database.

Geometry as extended XYZ:
```
5
Lattice="5.0842 0.0000 0.0000 0.0000 5.0842 0.0000 0.0000 0.0000 3.6896" Properties=species:S:1:pos:R:3 pbc="T T T"
Li 0.0000 2.5421 0.0000
Li 2.5421 0.0000 0.0000
Fe 0.0000 0.0000 0.0000
Tc 2.5421 2.5421 1.8448
F 0.0000 0.0000 1.8448
```

Values from the calculation:
Size of the total moment (μB/f.u.): 6.7
Volume (Å³/atom): 19.07
Total DFT energy (no corrections) (eV for the cell shown): -19.46
Calculated density (g/cm3): 3.25